1.
Computed, not measured: a relaxed Ba3Sb2H crystal at the GGA-PBE level of DFT.

```
data_Ba3Sb2H
_chemical_formula_sum 'Ba6 Sb4 H2'
_symmetry_space_group_name_H-M 'P 1'
_symmetry_Int_Tables_number 1
_cell_length_a 12.549
_cell_length_b 12.549
_cell_length_c 7.501
_cell_angle_alpha 90.00
_cell_angle_beta 90.00
_cell_angle_gamma 158.80
loop_
_symmetry_equiv_pos_as_xyz
'x,y,z'
loop_
_atom_site_label
_atom_site_fract_x
_atom_site_fract_y
_atom_site_fract_z
Ba1 0.086 0.914 0.516
Ba2 0.086 0.914 0.984
Ba3 0.285 0.715 0.750
Ba4 0.715 0.285 0.250
Ba5 0.914 0.086 0.016
Ba6 0.914 0.086 0.484
Sb1 0.324 0.676 0.250
Sb2 0.493 0.507 0.750
Sb3 0.507 0.493 0.250
Sb4 0.676 0.324 0.750
H1 0.154 0.846 0.250
H2 0.846 0.154 0.750
```

N(E_F) ... 1.50 states/eV/f.u.
Space-group type ... No. 63
Offset from the most stable computed form ... 0.000 eV/atom

2.
Computed, not measured: a relaxed Ba4SbH2 crystal at the GGA-PBE level of DFT.

```
data_Ba4SbH2
_chemical_formula_sum 'Ba8 Sb2 H4'
_symmetry_space_group_name_H-M 'P 1'
_symmetry_Int_Tables_number 1
_cell_length_a 8.380
_cell_length_b 8.419
_cell_length_c 8.592
_cell_angle_alpha 69.13
_cell_angle_beta 70.73
_cell_angle_gamma 83.63
loop_
_symmetry_equiv_pos_as_xyz
'x,y,z'
loop_
_atom_site_label
_atom_site_fract_x
_atom_site_fract_y
_atom_site_fract_z
Ba1 0.000 0.000 0.000
Ba2 0.017 0.519 0.995
Ba3 0.047 0.897 0.492
Ba4 0.383 0.338 0.566
Ba5 0.514 0.327 0.044
Ba6 0.539 0.837 0.381
Ba7 0.576 0.904 0.851
Ba8 0.894 0.399 0.548
Sb1 0.254 0.652 0.220
Sb2 0.763 0.181 0.335
H1 0.052 0.327 0.793
H2 0.591 0.247 0.759
H3 0.665 0.019 0.051
H4 0.902 0.828 0.838
```

N(E_F) ... 2.96 states/eV/f.u.
Calculated total energy ... -22.17 eV/f.u.
Space-group type ... No. 1

3.
Computed, not measured: a relaxed Ba6Sb3H2 crystal at the GGA-PBE level of DFT.

```
data_Ba6Sb3H2
_chemical_formula_sum 'Ba6 Sb3 H2'
_symmetry_space_group_name_H-M 'P 1'
_symmetry_Int_Tables_number 1
_cell_length_a 14.460
_cell_length_b 14.460
_cell_length_c 14.460
_cell_angle_alpha 158.45
_cell_angle_beta 158.45
_cell_angle_gamma 30.66
loop_
_symmetry_equiv_pos_as_xyz
'x,y,z'
loop_
_atom_site_label
_atom_site_fract_x
_atom_site_fract_y
_atom_site_fract_z
Ba1 0.081 0.581 0.500
Ba2 0.202 0.202 0.000
Ba3 0.419 0.919 0.500
Ba4 0.581 0.081 0.500
Ba5 0.798 0.798 0.000
Ba6 0.919 0.419 0.500
Sb1 0.328 0.328 0.000
Sb2 0.500 0.500 0.000
Sb3 0.672 0.672 0.000
H1 0.100 0.100 0.000
H2 0.900 0.900 0.000
```

N(E_F) ... 3.83 states/eV/f.u.
Calculated total energy ... -39.84 eV/f.u.
Space-group type ... No. 139

4.
Computed, not measured: a relaxed Ba3SbH2 crystal at the GGA-PBE level of DFT.

```
data_Ba3SbH2
_chemical_formula_sum 'Ba6 Sb2 H4'
_symmetry_space_group_name_H-M 'P 1'
_symmetry_Int_Tables_number 1
_cell_length_a 8.338
_cell_length_b 8.338
_cell_length_c 5.687
_cell_angle_alpha 90.00
_cell_angle_beta 90.00
_cell_angle_gamma 103.28
loop_
_symmetry_equiv_pos_as_xyz
'x,y,z'
loop_
_atom_site_label
_atom_site_fract_x
_atom_site_fract_y
_atom_site_fract_z
Ba1 0.115 0.885 0.750
Ba2 0.180 0.414 0.750
Ba3 0.414 0.180 0.250
Ba4 0.586 0.820 0.750
Ba5 0.820 0.586 0.250
Ba6 0.885 0.115 0.250
Sb1 0.306 0.694 0.250
Sb2 0.694 0.306 0.750
H1 0.152 0.152 0.000
H2 0.152 0.152 0.500
H3 0.848 0.848 0.000
H4 0.848 0.848 0.500
```

N(E_F) ... 3.41 states/eV/f.u.
Space-group type ... No. 63
Offset from the most stable computed form ... 0.000 eV/atom

5.
Computed, not measured: a relaxed BaSbH3 crystal at the GGA-PBE level of DFT.

```
data_BaSbH3
_chemical_formula_sum 'Ba2 Sb2 H6'
_symmetry_space_group_name_H-M 'P 1'
_symmetry_Int_Tables_number 1
_cell_length_a 9.437
_cell_length_b 9.437
_cell_length_c 9.437
_cell_angle_alpha 29.64
_cell_angle_beta 29.64
_cell_angle_gamma 29.64
loop_
_symmetry_equiv_pos_as_xyz
'x,y,z'
loop_
_atom_site_label
_atom_site_fract_x
_atom_site_fract_y
_atom_site_fract_z
Ba1 0.000 0.000 0.000
Ba2 0.500 0.500 0.500
Sb1 0.250 0.250 0.250
Sb2 0.750 0.750 0.750
H1 0.178 0.750 0.322
H2 0.250 0.678 0.822
H3 0.322 0.178 0.750
H4 0.678 0.822 0.250
H5 0.750 0.322 0.178
H6 0.822 0.250 0.678
```

N(E_F) ... 0.61 states/eV/f.u.
Space-group type ... No. 167
Offset from the most stable computed form ... 0.000 eV/atom

6.
Computed, not measured: a relaxed Ba2Sb2H crystal at the GGA-PBE level of DFT.

```
data_Ba2Sb2H
_chemical_formula_sum 'Ba4 Sb4 H2'
_symmetry_space_group_name_H-M 'P 1'
_symmetry_Int_Tables_number 1
_cell_length_a 6.597
_cell_length_b 6.597
_cell_length_c 9.710
_cell_angle_alpha 90.00
_cell_angle_beta 90.00
_cell_angle_gamma 90.00
loop_
_symmetry_equiv_pos_as_xyz
'x,y,z'
loop_
_atom_site_label
_atom_site_fract_x
_atom_site_fract_y
_atom_site_fract_z
Ba1 0.000 0.500 0.250
Ba2 0.000 0.500 0.750
Ba3 0.500 0.000 0.250
Ba4 0.500 0.000 0.750
Sb1 0.000 0.000 0.144
Sb2 0.000 0.000 0.856
Sb3 0.500 0.500 0.356
Sb4 0.500 0.500 0.644
H1 0.000 0.000 0.500
H2 0.500 0.500 0.000
```

N(E_F) ... 6.98 states/eV/f.u.
Space-group type ... No. 139
Offset from the most stable computed form ... 0.124 eV/atom

7.
Computed, not measured: a relaxed Ba5Sb3H crystal at the GGA-PBE level of DFT.

```
data_Ba5Sb3H
_chemical_formula_sum 'Ba10 Sb6 H2'
_symmetry_space_group_name_H-M 'P 1'
_symmetry_Int_Tables_number 1
_cell_length_a 10.295
_cell_length_b 10.295
_cell_length_c 10.295
_cell_angle_alpha 125.21
_cell_angle_beta 125.21
_cell_angle_gamma 81.20
loop_
_symmetry_equiv_pos_as_xyz
'x,y,z'
loop_
_atom_site_label
_atom_site_fract_x
_atom_site_fract_y
_atom_site_fract_z
Ba1 0.000 0.000 0.000
Ba2 0.012 0.512 0.809
Ba3 0.203 0.012 0.500
Ba4 0.297 0.797 0.809
Ba5 0.488 0.297 0.500
Ba6 0.500 0.500 0.000
Ba7 0.512 0.703 0.500
Ba8 0.703 0.203 0.191
Ba9 0.797 0.988 0.500
Ba10 0.988 0.488 0.191
Sb1 0.151 0.349 0.500
Sb2 0.250 0.250 0.000
Sb3 0.349 0.849 0.199
Sb4 0.651 0.151 0.801
Sb5 0.750 0.750 0.000
Sb6 0.849 0.651 0.500
H1 0.250 0.750 0.500
H2 0.750 0.250 0.500
```

Calculated total energy ... -34.03 eV/f.u.
Space-group type ... No. 140

8.
Computed, not measured: a relaxed BaSb3H crystal at the GGA-PBE level of DFT.

```
data_BaSb3H
_chemical_formula_sum 'Ba1 Sb3 H1'
_symmetry_space_group_name_H-M 'P 1'
_symmetry_Int_Tables_number 1
_cell_length_a 5.034
_cell_length_b 5.034
_cell_length_c 5.034
_cell_angle_alpha 90.00
_cell_angle_beta 90.00
_cell_angle_gamma 90.00
loop_
_symmetry_equiv_pos_as_xyz
'x,y,z'
loop_
_atom_site_label
_atom_site_fract_x
_atom_site_fract_y
_atom_site_fract_z
Ba1 0.000 0.000 0.000
Sb1 0.000 0.500 0.500
Sb2 0.500 0.000 0.500
Sb3 0.500 0.500 0.000
H1 0.500 0.500 0.500
```

N(E_F) ... 3.39 states/eV/f.u.
Space-group type ... No. 221
Offset from the most stable computed form ... 0.000 eV/atom

9.
Computed, not measured: a relaxed Ba4Sb2H crystal at the GGA-PBE level of DFT.

```
data_Ba4Sb2H
_chemical_formula_sum 'Ba8 Sb4 H2'
_symmetry_space_group_name_H-M 'P 1'
_symmetry_Int_Tables_number 1
_cell_length_a 5.286
_cell_length_b 5.286
_cell_length_c 18.908
_cell_angle_alpha 90.00
_cell_angle_beta 90.00
_cell_angle_gamma 90.00
loop_
_symmetry_equiv_pos_as_xyz
'x,y,z'
loop_
_atom_site_label
_atom_site_fract_x
_atom_site_fract_y
_atom_site_fract_z
Ba1 0.000 0.000 0.180
Ba2 0.000 0.000 0.820
Ba3 0.000 0.500 0.000
Ba4 0.000 0.500 0.500
Ba5 0.500 0.000 0.000
Ba6 0.500 0.000 0.500
Ba7 0.500 0.500 0.320
Ba8 0.500 0.500 0.680
Sb1 0.000 0.000 0.367
Sb2 0.000 0.000 0.633
Sb3 0.500 0.500 0.133
Sb4 0.500 0.500 0.867
H1 0.000 0.000 0.000
H2 0.500 0.500 0.500
```

N(E_F) ... 3.44 states/eV/f.u.
Space-group type ... No. 139
Offset from the most stable computed form ... 0.000 eV/atom